Density functional theory data (PBE) for crystalline SrLiS2O8 at its relaxed geometry.

abc: 5.205 5.205 7.069
angles: 90.00 90.00 120.00
Atoms (fractional coordinates):
O: 0.645 0.823 0.696
O: 0.178 0.355 0.696
O: 0.355 0.177 0.304
O: 0.667 0.333 0.025
O: 0.333 0.667 0.975
O: 0.822 0.645 0.304
O: 0.823 0.178 0.304
O: 0.177 0.822 0.696
Li: 0.000 0.000 0.500
S: 0.667 0.333 0.236
S: 0.333 0.667 0.764
Sr: 0.000 0.000 0.000

## Properties
calculated volume: 13.819 Å³/atom
raw total energy: -6.08 eV per atom
symmetry: P-3m1, No. 164

---

Density functional theory data (PBE) for crystalline LaZnTc2 at its relaxed geometry.

abc: 4.446 4.446 5.830
angles: 67.49 67.49 59.99
Atoms (fractional coordinates):
Tc: 0.067 0.067 0.798
Tc: 0.433 0.433 0.702
Zn: 0.750 0.750 0.750
La: 0.250 0.250 0.250

## Properties
formation enthalpy at 0 K: 0.020 eV per atom
calculated volume: 22.382 Å³/atom
raw total energy: -6.71 eV per atom
symmetry: C2/m, No. 12

---

Density functional theory data (PBE) for crystalline CuN2Cl4 at its relaxed geometry.

abc: 8.132 8.132 7.904
angles: 90.00 90.00 121.49
Atoms (fractional coordinates):
Cl: 0.651 0.349 0.500
Cl: 0.810 0.810 0.809
Cl: 0.690 0.690 0.309
Cl: 0.151 0.849 0.000
Cl: 0.310 0.310 0.691
Cl: 0.190 0.190 0.191
Cl: 0.349 0.651 0.500
Cl: 0.849 0.151 0.000
N: 0.350 0.650 0.000
N: 0.650 0.350 0.000
N: 0.850 0.150 0.500
N: 0.150 0.850 0.500
Cu: 0.500 0.500 0.500
Cu: 0.000 0.000 0.000

## Properties
relative energy among the computed polymorphs: 678 meV per atom
calculated volume: 31.837 Å³/atom
raw total energy: -2.63 eV per atom
symmetry: Cmce, No. 64

---

Density functional theory data (PBE) for crystalline Pm5Zn2Ge5 at its relaxed geometry.

abc: 4.242 7.881 11.493
angles: 128.40 90.00 105.61
Atoms (fractional coordinates):
Ge: 0.934 0.868 0.640
Ge: 0.066 0.132 0.360
Ge: 0.755 0.510 0.823
Ge: 0.245 0.490 0.177
Ge: 0.000 0.000 0.000
Pm: 0.397 0.793 0.079
Pm: 0.500 0.000 0.500
Pm: 0.603 0.207 0.921
Pm: 0.699 0.397 0.327
Pm: 0.301 0.603 0.673
Zn: 0.141 0.283 0.756
Zn: 0.859 0.717 0.244

## Properties
formation enthalpy at 0 K: -0.696 eV per atom
calculated volume: 23.566 Å³/atom
raw total energy: -4.81 eV per atom
symmetry: C2/m, No. 12